No. 1
First-principles (SCAN) data for a crystal of Ta3Al5 relaxed with PBEsol, as listed in Alexandria.

a = 5.843 Å, b = 5.843 Å, c = 3.761 Å
α = 90.00°, β = 90.00°, γ = 92.11°
Positions (direct):
Ta 0.000 0.000 0.000
Ta 0.260 0.260 0.500
Ta 0.740 0.740 0.500
Al 0.000 0.500 0.000
Al 0.245 0.755 0.500
Al 0.500 0.000 0.000
Al 0.500 0.500 0.000
Al 0.755 0.245 0.500

Results
- space-group type = Cmmm (65)
- calculated formation energy (eV/atom) = -0.26

=====

No. 2
First-principles (SCAN) data for a crystal of Li2Al2P2O9F relaxed with PBEsol, as listed in Alexandria.

a = 5.097 Å, b = 5.154 Å, c = 6.957 Å
α = 107.74°, β = 107.09°, γ = 98.13°
Positions (direct):
Li 0.000 0.000 0.000
Li 0.470 0.752 0.489
Al 0.732 0.376 0.251
Al 0.741 0.383 0.747
P 0.060 0.020 0.493
P 0.413 0.739 0.004
O 0.038 0.700 0.391
O 0.100 0.619 0.856
O 0.380 0.141 0.631
O 0.429 0.056 0.109
O 0.487 0.604 0.175
O 0.615 0.701 0.876
O 0.659 0.456 0.500
O 0.875 0.063 0.635
O 0.977 0.144 0.315
F 0.816 0.305 0.999

Results
- space-group type = P1 (1)
- raw formation energy (eV/atom) = -2.8060

=====

No. 3
First-principles (SCAN) data for a crystal of Ca2CdH24Cl6O12 relaxed with PBEsol, as listed in Alexandria.

a = 8.845 Å, b = 9.885 Å, c = 12.662 Å
α = 90.00°, β = 117.24°, γ = 90.00°
Positions (direct):
Ca 0.249 0.048 0.354
Ca 0.249 0.452 0.854
Ca 0.751 0.548 0.146
Ca 0.751 0.952 0.646
Cd 0.500 0.000 0.000
Cd 0.500 0.500 0.500
H 0.005 0.715 0.678
H 0.005 0.785 0.178
H 0.039 0.685 0.844
H 0.039 0.815 0.344
H 0.057 0.509 0.402
H 0.057 0.991 0.902
H 0.068 0.059 0.655
H 0.068 0.441 0.155
H 0.105 0.562 0.600
H 0.105 0.938 0.100
H 0.118 0.656 0.240
H 0.118 0.844 0.740
H 0.306 0.192 0.157
H 0.306 0.308 0.657
H 0.313 0.200 0.751
H 0.313 0.300 0.251
H 0.356 0.654 0.722
H 0.356 0.846 0.222
H 0.367 0.662 0.040
H 0.367 0.838 0.540
H 0.394 0.537 0.119
H 0.394 0.963 0.619
H 0.457 0.695 0.859
H 0.457 0.805 0.359
H 0.543 0.195 0.641
H 0.543 0.305 0.141
H 0.606 0.037 0.381
H 0.606 0.463 0.881
H 0.633 0.162 0.460
H 0.633 0.338 0.960
H 0.644 0.154 0.778
H 0.644 0.346 0.278
H 0.687 0.700 0.749
H 0.687 0.800 0.249
H 0.694 0.692 0.343
H 0.694 0.808 0.843
H 0.882 0.156 0.260
H 0.882 0.344 0.760
H 0.895 0.062 0.900
H 0.895 0.438 0.400
H 0.932 0.559 0.845
H 0.932 0.941 0.345
H 0.943 0.009 0.098
H 0.943 0.491 0.598
H 0.961 0.185 0.656
H 0.961 0.315 0.156
H 0.995 0.215 0.822
H 0.995 0.285 0.322
Cl 0.266 0.635 0.526
Cl 0.266 0.865 0.026
Cl 0.324 0.513 0.266
Cl 0.324 0.987 0.766
Cl 0.338 0.218 0.003
Cl 0.338 0.282 0.503
Cl 0.662 0.718 0.497
Cl 0.662 0.782 0.997
Cl 0.676 0.013 0.234
Cl 0.676 0.487 0.734
Cl 0.734 0.135 0.974
Cl 0.734 0.365 0.474
O 0.005 0.697 0.217
O 0.005 0.803 0.717
O 0.045 0.545 0.648
O 0.045 0.955 0.148
O 0.050 0.595 0.881
O 0.050 0.905 0.381
O 0.305 0.201 0.235
O 0.305 0.299 0.735
O 0.359 0.641 0.800
O 0.359 0.859 0.300
O 0.410 0.568 0.051
O 0.410 0.932 0.551
O 0.590 0.068 0.449
O 0.590 0.432 0.949
O 0.641 0.141 0.700
O 0.641 0.359 0.200
O 0.695 0.701 0.265
O 0.695 0.799 0.765
O 0.950 0.095 0.619
O 0.950 0.405 0.119
O 0.955 0.045 0.852
O 0.955 0.455 0.352
O 0.995 0.197 0.283
O 0.995 0.303 0.783

Results
- space-group type = P2_1/c (14)

=====

No. 4
First-principles (SCAN) data for a crystal of MnGa3Pd relaxed with PBEsol, as listed in Alexandria.

a = 4.463 Å, b = 4.463 Å, c = 4.463 Å
α = 90.00°, β = 90.00°, γ = 90.00°
Positions (direct):
Mn 0.000 0.000 0.000
Ga 0.000 0.000 0.500
Ga 0.000 0.500 0.000
Ga 0.500 0.000 0.000
Pd 0.500 0.500 0.500

Results
- space-group type = Pm-3m (221)
- calculated formation energy (eV/atom) = 0.30

=====

No. 5
First-principles (SCAN) data for a crystal of ErAsS relaxed with PBEsol, as listed in Alexandria.

a = 3.747 Å, b = 3.747 Å, c = 8.302 Å
α = 90.00°, β = 90.00°, γ = 90.00°
Positions (direct):
Er 0.250 0.250 0.209
Er 0.750 0.750 0.791
As 0.250 0.750 0.500
As 0.750 0.250 0.500
S 0.250 0.250 0.874
S 0.750 0.750 0.126

Results
- space-group type = P4/nmm (129)
- raw formation energy (eV/atom) = -1.7538

=====

No. 6
First-principles (SCAN) data for a crystal of FeAg2I relaxed with PBEsol, as listed in Alexandria.

a = 4.803 Å, b = 4.803 Å, c = 4.803 Å
α = 60.00°, β = 60.00°, γ = 60.00°
Positions (direct):
Fe 0.000 0.000 0.000
Ag 0.250 0.250 0.250
Ag 0.750 0.750 0.750
I 0.500 0.500 0.500

Results
- space-group type = Fm-3m (225)
- raw formation energy (eV/atom) = 0.8388

=====

No. 7
First-principles (SCAN) data for a crystal of AsPbAu2 relaxed with PBEsol, as listed in Alexandria.

a = 8.753 Å, b = 8.753 Å, c = 8.753 Å
α = 147.44°, β = 147.44°, γ = 46.71°
Positions (direct):
As 0.000 0.000 0.000
As 0.750 0.250 0.500
Pb 0.250 0.750 0.500
Pb 0.500 0.500 0.000
Au 0.025 0.625 0.900
Au 0.375 0.275 0.400
Au 0.725 0.125 0.100
Au 0.875 0.975 0.600

Results
- space-group type = I-42d (122)
- calculated formation energy (eV/atom) = -0.03

=====

No. 8
First-principles (SCAN) data for a crystal of NiSbW2 relaxed with PBEsol, as listed in Alexandria.

a = 4.953 Å, b = 4.953 Å, c = 4.953 Å
α = 140.02°, β = 127.05°, γ = 68.36°
Positions (direct):
Ni 0.000 0.000 0.000
Sb 0.224 0.724 0.500
W 0.491 0.491 0.000
W 0.749 0.249 0.500

Results
- space-group type = Imm2 (44)
- raw formation energy (eV/atom) = 0.4490

=====

No. 9
First-principles (SCAN) data for a crystal of LiTeO3 relaxed with PBEsol, as listed in Alexandria.

a = 3.600 Å, b = 3.600 Å, c = 3.600 Å
α = 90.00°, β = 90.00°, γ = 90.00°
Positions (direct):
Li 0.000 0.000 0.000
Te 0.500 0.500 0.500
O 0.000 0.000 0.500
O 0.000 0.500 0.000
O 0.500 0.000 0.000

Results
- space-group type = Pm-3m (221)
- raw formation energy (eV/atom) = -0.3536

=====

No. 10
First-principles (SCAN) data for a crystal of AsNCl2 relaxed with PBEsol, as listed in Alexandria.

a = 8.145 Å, b = 8.145 Å, c = 8.145 Å
α = 23.03°, β = 23.03°, γ = 23.03°
Positions (direct):
As 0.000 0.000 0.000
N 0.500 0.500 0.500
Cl 0.418 0.418 0.418
Cl 0.582 0.582 0.582

Results
- space-group type = R-3m (166)
- raw formation energy (eV/atom) = 1.2729

=====

No. 11
First-principles (SCAN) data for a crystal of RuPt2Rh relaxed with PBEsol, as listed in Alexandria.

a = 2.698 Å, b = 2.698 Å, c = 7.771 Å
α = 90.00°, β = 90.00°, γ = 90.00°
Positions (direct):
Ru 0.000 0.000 0.000
Pt 0.000 0.000 0.515
Pt 0.500 0.500 0.248
Rh 0.500 0.500 0.772

Results
- space-group type = P4mm (99)
- calculated formation energy (eV/atom) = -0.05
- E above lowest polymorph (meV/atom) = 0

=====

No. 12
First-principles (SCAN) data for a crystal of Cd3TcSb relaxed with PBEsol, as listed in Alexandria.

a = 5.125 Å, b = 5.125 Å, c = 5.125 Å
α = 90.00°, β = 90.00°, γ = 90.00°
Positions (direct):
Cd 0.000 0.000 0.500
Cd 0.000 0.500 0.000
Cd 0.500 0.000 0.000
Tc 0.000 0.000 0.000
Sb 0.500 0.500 0.500

Results
- space-group type = Pm-3m (221)
- raw formation energy (eV/atom) = 0.9326
- E above lowest polymorph (meV/atom) = 0

=====

No. 13
First-principles (SCAN) data for a crystal of K2VCuS4 relaxed with PBEsol, as listed in Alexandria.

a = 12.847 Å, b = 11.485 Å, c = 6.885 Å
α = 84.83°, β = 62.91°, γ = 32.26°
Positions (direct):
K 0.054 0.054 0.696
K 0.304 0.304 0.946
K 0.696 0.696 0.054
K 0.946 0.946 0.304
V 0.125 0.125 0.125
V 0.875 0.875 0.875
Cu 0.375 0.375 0.375
Cu 0.625 0.625 0.625
S 0.046 0.315 0.402
S 0.263 0.598 0.685
S 0.315 0.046 0.737
S 0.402 0.737 0.046
S 0.598 0.263 0.954
S 0.685 0.954 0.263
S 0.737 0.402 0.315
S 0.954 0.685 0.598

Results
- space-group type = Fddd (70)
- raw formation energy (eV/atom) = -1.1875

=====

No. 14
First-principles (SCAN) data for a crystal of CaPNF2 relaxed with PBEsol, as listed in Alexandria.

a = 4.119 Å, b = 4.119 Å, c = 5.214 Å
α = 90.00°, β = 90.00°, γ = 90.00°
Positions (direct):
Ca 0.000 0.000 0.000
P 0.500 0.500 0.500
N 0.000 0.000 0.500
F 0.000 0.500 0.000
F 0.500 0.000 0.000

Results
- space-group type = P4/mmm (123)
- raw formation energy (eV/atom) = -0.7948

=====

No. 15
First-principles (SCAN) data for a crystal of CoOs2Ru relaxed with PBEsol, as listed in Alexandria.

a = 4.563 Å, b = 4.563 Å, c = 2.638 Å
α = 90.00°, β = 90.00°, γ = 109.76°
Positions (direct):
Co 0.000 0.000 0.000
Os 0.000 0.500 0.500
Os 0.500 0.000 0.500
Ru 0.500 0.500 0.000

Results
- space-group type = Cmmm (65)
- calculated formation energy (eV/atom) = 0.26
- E above lowest polymorph (meV/atom) = 20

=====

No. 16
First-principles (SCAN) data for a crystal of CdCu2As relaxed with PBEsol, as listed in Alexandria.

a = 4.458 Å, b = 4.458 Å, c = 4.458 Å
α = 60.00°, β = 60.00°, γ = 60.00°
Positions (direct):
Cd 0.000 0.000 0.000
Cu 0.250 0.250 0.250
Cu 0.500 0.500 0.500
As 0.750 0.750 0.750

Results
- space-group type = F-43m (216)
- calculated formation energy (eV/atom) = 0.32
- E above lowest polymorph (meV/atom) = 192

=====

No. 17
First-principles (SCAN) data for a crystal of RbSiS2Cl relaxed with PBEsol, as listed in Alexandria.

a = 5.241 Å, b = 5.241 Å, c = 5.553 Å
α = 90.00°, β = 90.00°, γ = 90.00°
Positions (direct):
Rb 0.000 0.000 0.000
Si 0.500 0.500 0.500
S 0.000 0.500 0.000
S 0.500 0.000 0.000
Cl 0.000 0.000 0.500

Results
- space-group type = P4/mmm (123)
- raw formation energy (eV/atom) = 1.1582

=====

No. 18
First-principles (SCAN) data for a crystal of SiRuIN2 relaxed with PBEsol, as listed in Alexandria.

a = 3.541 Å, b = 3.541 Å, c = 6.588 Å
α = 90.00°, β = 90.00°, γ = 90.00°
Positions (direct):
Si 0.000 0.000 0.000
Ru 0.500 0.500 0.500
I 0.000 0.000 0.500
N 0.000 0.500 0.000
N 0.500 0.000 0.000

Results
- space-group type = P4/mmm (123)
- raw formation energy (eV/atom) = 1.0980

=====

No. 19
First-principles (SCAN) data for a crystal of SrTl2Au relaxed with PBEsol, as listed in Alexandria.

a = 4.338 Å, b = 6.666 Å, c = 6.666 Å
α = 35.51°, β = 90.00°, γ = 90.00°
Positions (direct):
Sr 0.000 0.000 0.000
Tl 0.000 0.730 0.730
Tl 0.500 0.333 0.333
Au 0.500 0.580 0.580

Results
- space-group type = Amm2 (38)
- calculated formation energy (eV/atom) = -0.45

=====

No. 20
First-principles (SCAN) data for a crystal of Mn5V2Pb3O16 relaxed with PBEsol, as listed in Alexandria.

a = 5.636 Å, b = 5.636 Å, c = 11.189 Å
α = 90.00°, β = 90.00°, γ = 120.00°
Positions (direct):
Mn 0.000 0.000 0.184
Mn 0.000 0.000 0.816
Mn 0.000 0.500 0.000
Mn 0.500 0.000 0.000
Mn 0.500 0.500 0.000
V 0.333 0.667 0.356
V 0.667 0.333 0.644
Pb 0.000 0.000 0.500
Pb 0.333 0.667 0.733
Pb 0.667 0.333 0.267
O 0.162 0.325 0.311
O 0.162 0.838 0.311
O 0.175 0.350 0.906
O 0.175 0.825 0.906
O 0.325 0.162 0.689
O 0.333 0.667 0.088
O 0.333 0.667 0.505
O 0.350 0.175 0.094
O 0.650 0.825 0.906
O 0.667 0.333 0.495
O 0.667 0.333 0.912
O 0.675 0.838 0.311
O 0.825 0.175 0.094
O 0.825 0.650 0.094
O 0.838 0.162 0.689
O 0.838 0.675 0.689

Results
- space-group type = P-3m1 (164)
- raw formation energy (eV/atom) = -2.1186

=====

No. 21
First-principles (SCAN) data for a crystal of Re3AsPb relaxed with PBEsol, as listed in Alexandria.

a = 4.906 Å, b = 4.906 Å, c = 4.906 Å
α = 90.00°, β = 90.00°, γ = 90.00°
Positions (direct):
Re 0.000 0.000 0.500
Re 0.000 0.500 0.000
Re 0.500 0.000 0.000
As 0.500 0.500 0.500
Pb 0.000 0.000 0.000

Results
- space-group type = Pm-3m (221)
- calculated formation energy (eV/atom) = 3.51

=====

no.,volume (Å³/f.u.),DFT total energy (eV for the cell shown)
1,128.31,-240.57
2,160.94,-145.60
3,492.20,-626.89
4,88.92,-98.57
5,58.29,-170.84
6,78.33,-114.25
7,96.76,-468.83
8,61.28,-191.01
9,46.66,-60.10
10,72.61,-40.35
11,56.57,-209.17
12,134.65,-158.90
13,189.25,-194.71
14,88.44,-40.41
15,51.69,-194.83
16,62.63,-79.71
17,152.54,-52.20
18,82.62,-94.68
19,111.95,-237.97
20,307.79,-508.38
21,118.05,-291.73